1.
Entry from Alexandria: an optimized crystal structure of GaAsI2N (PBE).

As for the energy above the most stable polymorph in this dataset: 1.41 eV/f.u. Its uncorrected formation energy is 0.771 eV/atom. The electronic total energy is -0.22414 Ry/atom.

The structure belongs to space group P4/mmm (No. 123); the cell edges are 5.817, 5.817 and 3.599 Å and the angles 90.00°, 90.00° and 90.00°. The asymmetric unit holds Ga at (0.000, 0.000, 0.000), As at (0.500, 0.500, 0.500), I at (0.000, 0.500, 0.000) and N at (0.000, 0.000, 0.500).

2.
Entry from Alexandria: an optimized crystal structure of Nd6Ga2AsI3 (PBE).

Its uncorrected formation energy is -0.960 eV/atom. The electronic total energy is -0.33982 Ry/atom.

The structure belongs to space group C2/m (No. 12); the cell edges are 7.568, 13.122 and 8.029 Å and the angles 90.00°, 108.30° and 90.00°. The asymmetric unit holds Nd at (0.234, 0.000, 0.203), Nd at (0.235, 0.333, 0.204), Ga at (0.000, 0.167, 0.000), As at (0.000, 0.500, 0.000), I at (0.000, 0.000, 0.500) and I at (0.000, 0.334, 0.500).

3.
Entry from Alexandria: an optimized crystal structure of Nd4GaAsI2 (PBE).

Its uncorrected formation energy is -1.047 eV/atom. The electronic total energy is -0.35118 Ry/atom.

The structure belongs to space group P2/m (No. 10); the cell edges are 7.515, 4.372 and 8.084 Å and the angles 90.00°, 108.33° and 90.00°. The asymmetric unit holds Nd at (0.232, 0.000, 0.202), Nd at (0.265, 0.500, 0.801), Ga at (0.000, 0.500, 0.000), As at (0.500, 0.000, 0.000), I at (0.000, 0.000, 0.500) and I at (0.500, 0.500, 0.500).